Material: Ac2Ni4Sn3Pb
Method: DFT, PBE
State: optimized geometry

Energy of formation (eV/f.u.): -4.59
Total DFT energy (no corrections) (eV for the cell shown): -51.6

Unit cell a=4.598 b=4.598 c=10.447 alpha=90.00 beta=90.00 gamma=90.00
Space group P-4m2 (No. 115)
Asymmetric unit:
1 Ac 0.000 0.500 0.237
2 Ni 0.000 0.000 0.000
3 Ni 0.000 0.500 0.634
4 Ni 0.500 0.500 0.000
5 Sn 0.000 0.500 0.881
6 Sn 0.500 0.500 0.500
7 Pb 0.000 0.000 0.500

Material: AcYNiPb
Method: DFT, PBE
State: optimized geometry

Energy of formation (eV/f.u.): -0.84
Total DFT energy (no corrections) (eV for the cell shown): -83.6

Unit cell a=7.656 b=7.656 c=7.656 alpha=90.00 beta=90.00 gamma=90.00
Space group F-43m (No. 216)
Asymmetric unit:
1 Ac 0.000 0.000 0.000
2 Y 0.000 0.000 0.500
3 Ni 0.250 0.250 0.250
4 Pb 0.250 0.250 0.750

Q: What is the total DFT energy (no corrections) in the first record?
A: -51.6 eV for the cell shown